Record 1
AcYAl2Hg5: optimized geometry, PBE.

a = 5.2362 Å, b = 5.2362 Å, c = 8.4167 Å
α = 90.00°, β = 90.00°, γ = 90.00°
Closest atoms and distances in Å follow each position.
Space group P4/mmm (No. 123)
Asymmetric unit:
Ac1 0.0000 0.0000 0.0000 [1 per cell]  12 Hg 3.48-3.70
Y1 0.0000 0.0000 0.5000 [1 per cell]  8 Hg 3.25
Al1 0.5000 0.5000 0.3444 [2 per cell]  1 Al 2.62, 5 Hg 2.69-2.90
Hg1 0.0000 0.5000 0.2715 [4 per cell]  2 Al 2.69
Hg2 0.5000 0.5000 0.0000 [1 per cell]  2 Al 2.90


Record 2
Ac2YAl3Hg12: optimized geometry, PBE.

a = 8.7460 Å, b = 8.7460 Å, c = 23.7423 Å
α = 90.00°, β = 90.00°, γ = 120.00°
Closest atoms and distances in Å follow each position.
Space group R-3m (No. 166, hexagonal axes)
Asymmetric unit:
Ac1 0.0000 0.0000 0.0934 [6 per cell]  6 Hg 3.22-3.29
Y1 0.0000 0.0000 0.5000 [3 per cell]  12 Hg 3.28-3.30
Al1 0.0000 0.5000 0.0000 [9 per cell]  4 Hg 2.65
Hg1 0.0751 0.5376 0.2778 [18 per cell]  2 Al 2.65
Hg2 0.0833 0.5417 0.8733 [18 per cell]  1 Al 3.07, 4 Hg 3.24-3.28, 1 Ac 3.29, 1 Y 3.30


Record 3
Ac2AlZn3Hg4: optimized geometry, PBE.

a = 4.5733 Å, b = 4.5733 Å, c = 11.5190 Å
α = 90.00°, β = 90.00°, γ = 90.00°
Closest atoms and distances in Å follow each position.
Space group P-4m2 (No. 115)
Asymmetric unit:
Ac1 0.0000 0.5000 0.2485 [2 per cell]  6 Zn 3.48-3.69, 8 Hg 3.52-3.66, 2 Al 3.69
Al1 0.0000 0.0000 0.5000 [1 per cell]  4 Hg 2.74
Zn1 0.0000 0.5000 0.8625 [2 per cell]  5 Hg 2.67-2.78
Zn2 0.5000 0.5000 0.5000 [1 per cell]  4 Hg 2.74
Hg1 0.0000 0.0000 0.0000 [1 per cell]  4 Zn 2.78
Hg2 0.0000 0.5000 0.6310 [2 per cell]  3 Zn 2.67-2.74, 2 Al 2.74
Hg3 0.5000 0.5000 0.0000 [1 per cell]  4 Zn 2.78


Energy of formation from the pure elements for the records above, in order: -0.19; -0.02; -0.32 eV per atom